1.
This record from Alexandria describes an optimized crystal structure of ZrCr3Ir. The functional is PBE-GGA.

Values from the calculation:
Formation enthalpy at 0 K (kJ/mol of formula units): 1029
Space-group type: No. 221
Crystal system: cubic

Cell: 4.393 4.393 4.393 Å, 90.00 90.00 90.00°
Element x y z (fractional)
Zr1 0.000 0.000 0.000
Cr1 0.000 0.000 0.500
Cr2 0.000 0.500 0.000
Cr3 0.500 0.000 0.000
Ir1 0.500 0.500 0.500

2.
This record from Alexandria describes an optimized crystal structure of ReSbRu. The functional is PBE-GGA.

Values from the calculation:
Space-group type: No. 216
Crystal system: cubic
Raw formation energy (eV per atom): 0.39

Cell: 4.305 4.305 4.305 Å, 60.00 60.00 60.00°
Element x y z (fractional)
Re1 0.000 0.000 0.000
Sb1 0.500 0.500 0.500
Ru1 0.750 0.750 0.750

3.
This record from Alexandria describes an optimized crystal structure of Ta3GeSe. The functional is PBE-GGA.

Values from the calculation:
Space-group type: No. 221
Crystal system: cubic
Raw formation energy (eV per atom): 1.06

Cell: 4.719 4.719 4.719 Å, 90.00 90.00 90.00°
Element x y z (fractional)
Ta1 0.000 0.000 0.500
Ta2 0.000 0.500 0.000
Ta3 0.500 0.000 0.000
Ge1 0.500 0.500 0.500
Se1 0.000 0.000 0.000

4.
This record from Alexandria describes an optimized crystal structure of HoGa3Co. The functional is PBE-GGA.

Values from the calculation:
Formation enthalpy at 0 K (kJ/mol of formula units): -250
Space-group type: No. 62
Crystal system: orthorhombic

Cell: 8.167 4.066 10.426 Å, 90.00 90.00 90.00°
Element x y z (fractional)
Ho1 0.199 0.250 0.015
Ho2 0.301 0.750 0.515
Ho3 0.699 0.250 0.485
Ho4 0.801 0.750 0.985
Ga1 0.054 0.250 0.584
Ga2 0.112 0.750 0.794
Ga3 0.145 0.750 0.218
Ga4 0.355 0.250 0.718
Ga5 0.388 0.250 0.294
Ga6 0.446 0.750 0.084
Ga7 0.554 0.250 0.916
Ga8 0.612 0.750 0.706
Ga9 0.645 0.750 0.282
Ga10 0.855 0.250 0.782
Ga11 0.888 0.250 0.206
Ga12 0.946 0.750 0.416
Co1 0.108 0.250 0.353
Co2 0.392 0.750 0.853
Co3 0.608 0.250 0.147
Co4 0.892 0.750 0.647

5.
This record from Alexandria describes an optimized crystal structure of Pr4NdSm2Ho. The functional is PBE-GGA.

Values from the calculation:
Formation enthalpy at 0 K (kJ/mol of formula units): 10
Space-group type: No. 10
Crystal system: monoclinic

Cell: 5.182 5.208 10.315 Å, 90.00 90.07 90.00°
Element x y z (fractional)
Pr1 0.000 0.000 0.247
Pr2 0.000 0.000 0.753
Pr3 0.500 0.500 0.248
Pr4 0.500 0.500 0.752
Nd1 0.000 0.500 0.500
Sm1 0.000 0.500 0.000
Sm2 0.500 0.000 0.500
Ho1 0.500 0.000 0.000

6.
This record from Alexandria describes an optimized crystal structure of HfGaRu2. The functional is PBE-GGA.

Values from the calculation:
Formation enthalpy at 0 K (kJ/mol of formula units): 34
Space-group type: No. 122
Crystal system: tetragonal

Cell: 9.235 9.235 9.235 Å, 154.91 154.91 35.78°
Element x y z (fractional)
Hf1 0.000 0.000 0.000
Hf2 0.750 0.250 0.500
Ga1 0.250 0.750 0.500
Ga2 0.500 0.500 0.000
Ru1 0.189 0.625 0.064
Ru2 0.375 0.439 0.564
Ru3 0.561 0.125 0.936
Ru4 0.875 0.811 0.436

7.
This record from Alexandria describes an optimized crystal structure of SiPt3Cl. The functional is PBE-GGA.

Values from the calculation:
Space-group type: No. 221
Crystal system: cubic
Raw formation energy (eV per atom): 0.42

Cell: 4.589 4.589 4.589 Å, 90.00 90.00 90.00°
Element x y z (fractional)
Si1 0.000 0.000 0.000
Pt1 0.000 0.000 0.500
Pt2 0.000 0.500 0.000
Pt3 0.500 0.000 0.000
Cl1 0.500 0.500 0.500

8.
This record from Alexandria describes an optimized crystal structure of FeB2C. The functional is PBE-GGA.

Values from the calculation:
Formation enthalpy at 0 K (kJ/mol of formula units): 233
Space-group type: No. 122
Crystal system: tetragonal

Cell: 4.562 4.562 4.562 Å, 118.52 118.52 92.58°
Element x y z (fractional)
Fe1 0.000 0.000 0.000
Fe2 0.750 0.250 0.500
B1 0.215 0.625 0.090
B2 0.375 0.465 0.590
B3 0.535 0.125 0.910
B4 0.875 0.785 0.410
C1 0.250 0.750 0.500
C2 0.500 0.500 0.000

9.
This record from Alexandria describes an optimized crystal structure of LiEr2Au4. The functional is PBE-GGA.

Values from the calculation:
Formation enthalpy at 0 K (kJ/mol of formula units): -433
Space-group type: No. 123
Crystal system: tetragonal

Cell: 4.800 4.800 6.751 Å, 90.00 90.00 90.00°
Element x y z (fractional)
Li1 0.000 0.000 0.000
Er1 0.000 0.000 0.500
Er2 0.500 0.500 0.000
Au1 0.000 0.500 0.249
Au2 0.000 0.500 0.751
Au3 0.500 0.000 0.249
Au4 0.500 0.000 0.751

10.
This record from Alexandria describes an optimized crystal structure of La2FeC2. The functional is PBE-GGA.

Values from the calculation:
Formation enthalpy at 0 K (kJ/mol of formula units): -58
Space-group type: No. 12
Crystal system: monoclinic

Cell: 6.302 6.302 6.991 Å, 120.14 120.14 51.01°
Element x y z (fractional)
La1 0.048 0.048 0.295
La2 0.309 0.309 0.875
La3 0.691 0.691 0.125
La4 0.952 0.952 0.705
Fe1 0.372 0.372 0.368
Fe2 0.628 0.628 0.632
C1 0.186 0.186 0.111
C2 0.489 0.489 0.691
C3 0.511 0.511 0.309
C4 0.814 0.814 0.889

11.
This record from Alexandria describes an optimized crystal structure of Na2MgSn9. The functional is PBE-GGA.

Values from the calculation:
Formation enthalpy at 0 K (kJ/mol of formula units): -88
Space-group type: No. 123
Crystal system: tetragonal

Cell: 4.817 4.817 13.755 Å, 90.00 90.00 90.00°
Element x y z (fractional)
Na1 0.000 0.000 0.170
Na2 0.000 0.000 0.830
Mg1 0.000 0.000 0.500
Sn1 0.000 0.500 0.000
Sn2 0.000 0.500 0.340
Sn3 0.000 0.500 0.660
Sn4 0.500 0.000 0.000
Sn5 0.500 0.000 0.340
Sn6 0.500 0.000 0.660
Sn7 0.500 0.500 0.170
Sn8 0.500 0.500 0.500
Sn9 0.500 0.500 0.830

12.
This record from Alexandria describes an optimized crystal structure of Y2HgAu. The functional is PBE-GGA.

Values from the calculation:
Formation enthalpy at 0 K (kJ/mol of formula units): -264
Space-group type: No. 51
Crystal system: orthorhombic

Cell: 5.196 3.649 10.404 Å, 90.00 90.00 90.00°
Element x y z (fractional)
Y1 0.250 0.000 0.118
Y2 0.250 0.000 0.636
Y3 0.750 0.000 0.364
Y4 0.750 0.000 0.882
Hg1 0.250 0.500 0.382
Hg2 0.750 0.500 0.618
Au1 0.250 0.500 0.876
Au2 0.750 0.500 0.124

no.,D(E_F) (states/eV/f.u.),total energy (eV/atom)
1,9.07,-7.1231
2,2.93,-8.2241
3,5.60,-7.6705
4,1.98,-4.6703
5,11.42,-4.7248
6,3.28,-7.7961
7,1.56,-4.6592
8,1.85,-7.1579
9,3.64,-4.0910
10,3.03,-7.4735
11,6.11,-3.4310
12,2.72,-4.8110